## Li2Tm3Si4 (GGA-PBE)

Data for Li2Tm3Si4 after structural relaxation.

Cell lengths 5.6393, 5.6393, 8.0930 Å; angles 106.74, 106.74, 42.76 degrees
Closest atoms and distances in Å follow each position.
Element x y z (fractional)
Li1 0.1678 0.1678 0.3372  3 Si 2.42-2.46
Li2 0.8322 0.8322 0.6628  3 Si 2.42-2.46
Tm1 0.1382 0.1382 0.6850  7 Si 2.88-3.00, 4 Li 2.93-3.16
Tm2 0.5000 0.5000 0.0000  8 Si 2.99-3.17
Tm3 0.8618 0.8618 0.3150  7 Si 2.88-3.00, 4 Li 2.93-3.16
Si1 0.2157 0.2157 0.0589  1 Li 2.46, 2 Si 2.47
Si2 0.4296 0.4296 0.5981  2 Li 2.42, 1 Si 2.48
Si3 0.5704 0.5704 0.4019  2 Li 2.42, 1 Si 2.48
Si4 0.7843 0.7843 0.9411  1 Li 2.46, 2 Si 2.47

Values from the calculation:
- Volume: 18.46 Å³/atom
- SG: C2/m (12)
- Uncorrected formation energy: -0.5809 eV/atom